DFT (GGA+U) results for NaMnI2F after structural relaxation.

Cell lengths 5.911, 5.911, 4.116 Å; angles 90.00, 90.00, 90.00 degrees
Each line ends with the local moment (μB).
Positions (direct):
I1 0.000 0.500 0.000  0.02
I2 0.500 0.000 0.000  0.02
F1 0.000 0.000 0.500  0.05
Na1 0.500 0.500 0.500  0.00
Mn1 0.000 0.000 0.000  4.63

Total DFT energy (no corrections): -4.1320 eV per atom
Magnetic moment: 1.000 μB per atom
Density: 4.05 g/cm3
Space-group type: P4/mmm (123)
Crystal system: tetragonal